No. 1
A relaxed structure of HfNiIr2. Source: the Alexandria database, functional PBE-GGA.

Calculated values
- space group = No. 122
- energy of formation (eV per atom) = -0.112

```
8
Lattice="3.8843 0.0000 0.0000 0.0000 3.8843 0.0000 1.9422 1.9422 8.8258" Properties=species:S:1:pos:R:3 pbc="T T T"
Ni 1.9422 1.9422 0.0000
Ni 1.9422 3.8843 4.4129
Ir 2.7428 0.9711 2.2064
Ir 1.1416 2.9133 2.2064
Ir 2.9133 3.0838 6.6193
Ir 4.8554 4.6849 6.6193
Hf 0.0000 0.0000 0.0000
Hf 3.8843 1.9422 4.4129
```

=====

No. 2
A relaxed structure of Ac2Tb5. Source: the Alexandria database, functional PBE-GGA.

Calculated values
- space group = No. 127
- energy of formation (eV per atom) = 0.321

```
14
Lattice="3.5909 0.0000 0.0000 0.0000 11.9851 0.0000 0.0000 0.0000 11.9851" Properties=species:S:1:pos:R:3 pbc="T T T"
Ac 1.7955 8.3175 2.3249
Ac 1.7955 2.3249 3.6677
Ac 1.7955 9.6602 8.3175
Ac 1.7955 3.6677 9.6602
Tb 0.0000 5.9926 0.0000
Tb 0.0000 2.4041 0.5118
Tb 0.0000 11.4733 2.4041
Tb 0.0000 5.4807 3.5885
Tb 0.0000 8.3966 5.4807
Tb 0.0000 0.0000 5.9926
Tb 0.0000 3.5885 6.5044
Tb 0.0000 6.5044 8.3966
Tb 0.0000 0.5118 9.5810
Tb 0.0000 9.5810 11.4733
```